Computed, not measured: ScReHg2Sb after structural relaxation at the PBE level of DFT.

The structure in extended XYZ format:
```
5
Lattice="5.281 0.000 0.000 0.000 5.011 0.000 0.000 0.000 5.281" Properties=species:S:1:pos:R:3 pbc="T T T"
Sc 2.640 2.505 2.640
Re 0.000 0.000 0.000
Hg 0.000 0.000 2.640
Hg 2.640 0.000 0.000
Sb 0.000 2.505 0.000
```

Calculated values
SG ... P4/mmm (123)
Uncorrected formation energy ... 686.1 meV/atom

Computed, not measured: ReHgSb2Te after structural relaxation at the PBE level of DFT.

The structure in extended XYZ format:
```
5
Lattice="-3.659 -4.089 0.204 4.031 -3.549 1.143 -0.723 0.917 5.396" Properties=species:S:1:pos:R:3 pbc="T T T"
Re -0.176 -3.361 3.372
Te -0.362 0.458 2.698
Hg 0.000 0.000 0.000
Sb 2.015 -1.775 0.572
Sb -1.829 -2.045 0.102
```

Calculated values
SG ... P4/mmm (123)
Distance to the lowest polymorph of the same formula ... 1.208 eV per atom
Uncorrected formation energy ... 1811.2 meV/atom

Computed, not measured: ReHgSb2Te after structural relaxation at the PBE level of DFT.

The structure in extended XYZ format:
```
5
Lattice="5.125 0.000 0.000 0.000 5.125 0.000 0.000 0.000 5.667" Properties=species:S:1:pos:R:3 pbc="T T T"
Re 0.000 0.000 0.000
Te 0.000 0.000 2.834
Hg 2.562 2.562 2.834
Sb 0.000 2.562 0.000
Sb 2.562 0.000 0.000
```

Calculated values
SG ... P4/mmm (123)
Distance to the lowest polymorph of the same formula ... 0.000 eV per atom
Uncorrected formation energy ... 603.3 meV/atom

Computed, not measured: YReHg2Sb after structural relaxation at the PBE level of DFT.

The structure in extended XYZ format:
```
5
Lattice="5.782 0.000 0.000 0.000 5.739 0.000 0.000 0.000 5.782" Properties=species:S:1:pos:R:3 pbc="T T T"
Y 0.000 0.000 0.000
Re 2.891 2.869 2.891
Hg 0.000 0.000 2.891
Hg 2.891 0.000 0.000
Sb 0.000 2.869 0.000
```

Calculated values
SG ... P4/mmm (123)
Uncorrected formation energy ... 1487.1 meV/atom

Computed, not measured: YReHgSb2 after structural relaxation at the PBE level of DFT.

The structure in extended XYZ format:
```
5
Lattice="5.428 0.000 0.000 0.000 5.119 0.000 0.000 0.000 5.428" Properties=species:S:1:pos:R:3 pbc="T T T"
Y 2.714 2.559 2.714
Re 0.000 2.559 0.000
Hg 0.000 0.000 0.000
Sb 0.000 0.000 2.714
Sb 2.714 0.000 0.000
```

Calculated values
SG ... P4/mmm (123)
Uncorrected formation energy ... 1188.9 meV/atom

Computed, not measured: ZrRe2HgSb after structural relaxation at the PBE level of DFT.

The structure in extended XYZ format:
```
5
Lattice="4.867 0.000 0.000 0.000 5.211 0.000 0.000 0.000 4.867" Properties=species:S:1:pos:R:3 pbc="T T T"
Re 0.000 0.000 2.433
Re 2.433 0.000 0.000
Hg 2.433 2.605 2.433
Zr 0.000 2.605 0.000
Sb 0.000 0.000 0.000
```

Calculated values
SG ... P4/mmm (123)
Uncorrected formation energy ... 1847.6 meV/atom

Computed, not measured: Sc3ReHg after structural relaxation at the PBE level of DFT.

The structure in extended XYZ format:
```
5
Lattice="-2.512 -4.383 -0.119 3.606 -2.143 2.819 -2.495 1.317 4.193" Properties=species:S:1:pos:R:3 pbc="T T T"
Sc 1.803 -1.071 1.409
Sc -1.248 0.658 2.096
Sc -1.256 -2.192 -0.059
Re 0.000 0.000 0.000
Hg -0.701 -2.605 3.446
```

Calculated values
Formation energy from the elements ... 1.0 eV/f.u.
SG ... Pm-3m (221)
Distance to the lowest polymorph of the same formula ... 0.000 eV per atom

Computed, not measured: ScRe3Hg after structural relaxation at the PBE level of DFT.

The structure in extended XYZ format:
```
5
Lattice="4.645 0.000 0.000 0.000 4.645 0.000 0.000 0.000 4.645" Properties=species:S:1:pos:R:3 pbc="T T T"
Sc 0.000 0.000 0.000
Re 0.000 2.323 0.000
Re 0.000 0.000 2.323
Re 2.323 0.000 0.000
Hg 2.323 2.323 2.323
```

Calculated values
Formation energy from the elements ... 12.2 eV/f.u.
SG ... Pm-3m (221)
Distance to the lowest polymorph of the same formula ... 0.000 eV per atom

Computed, not measured: ScReHg4 after structural relaxation at the PBE level of DFT.

The structure in extended XYZ format:
```
6
Lattice="-3.609 0.550 4.252 -4.958 2.474 -0.835 -4.703 -3.046 0.096" Properties=species:S:1:pos:R:3 pbc="T T T"
Sc 0.000 0.000 0.000
Re -9.952 -0.016 2.634
Hg -7.453 1.225 0.902
Hg -6.780 0.266 3.439
Hg -7.326 -1.527 1.366
Hg -4.981 -0.008 1.318
```

Calculated values
Formation energy from the elements ... 3.8 eV/f.u.
SG ... F-43m (216)

Computed, not measured: ScRe4Hg after structural relaxation at the PBE level of DFT.

The structure in extended XYZ format:
```
6
Lattice="0.000 3.736 3.736 3.736 0.000 3.736 3.736 3.736 0.000" Properties=species:S:1:pos:R:3 pbc="T T T"
Sc 5.604 5.604 5.604
Re 2.800 4.672 4.672
Re 4.672 4.672 2.800
Re 4.672 2.800 4.672
Re 2.800 2.800 2.800
Hg 0.000 0.000 0.000
```

Calculated values
Formation energy from the elements ... 1.2 eV/f.u.
SG ... F-43m (216)

Computed, not measured: ScReHg3 after structural relaxation at the PBE level of DFT.

The structure in extended XYZ format:
```
5
Lattice="5.168 0.000 0.000 0.000 5.168 0.000 0.000 0.000 5.168" Properties=species:S:1:pos:R:3 pbc="T T T"
Sc 2.584 2.584 2.584
Re 0.000 0.000 0.000
Hg 0.000 2.584 0.000
Hg 0.000 0.000 2.584
Hg 2.584 0.000 0.000
```

Calculated values
Formation energy from the elements ... 4.5 eV/f.u.
SG ... Pm-3m (221)
Distance to the lowest polymorph of the same formula ... 0.000 eV per atom

Computed, not measured: Sc3ReHg after structural relaxation at the PBE level of DFT.

The structure in extended XYZ format:
```
5
Lattice="5.118 0.000 0.000 0.000 5.118 0.000 0.000 0.000 5.118" Properties=species:S:1:pos:R:3 pbc="T T T"
Sc 0.000 2.559 0.000
Sc 0.000 0.000 2.559
Sc 2.559 0.000 0.000
Re 2.559 2.559 2.559
Hg 0.000 0.000 0.000
```

Calculated values
Formation energy from the elements ... 6.1 eV/f.u.
SG ... Pm-3m (221)
Distance to the lowest polymorph of the same formula ... 1.010 eV per atom

Computed, not measured: ScRe3Hg after structural relaxation at the PBE level of DFT.

The structure in extended XYZ format:
```
5
Lattice="4.883 0.000 0.000 0.000 4.883 0.000 0.000 0.000 4.883" Properties=species:S:1:pos:R:3 pbc="T T T"
Sc 2.442 2.442 2.442
Re 0.000 2.442 0.000
Re 0.000 0.000 2.442
Re 2.442 0.000 0.000
Hg 0.000 0.000 0.000
```

Calculated values
Formation energy from the elements ... 13.7 eV/f.u.
SG ... Pm-3m (221)
Distance to the lowest polymorph of the same formula ... 0.303 eV per atom

Computed, not measured: ScRe2HgTe after structural relaxation at the PBE level of DFT.

The structure in extended XYZ format:
```
5
Lattice="4.902 0.000 0.000 0.000 5.266 0.000 0.000 0.000 4.902" Properties=species:S:1:pos:R:3 pbc="T T T"
Sc 0.000 0.000 0.000
Re 0.000 0.000 2.451
Re 2.451 0.000 0.000
Te 0.000 2.633 0.000
Hg 2.451 2.633 2.451
```

Calculated values
SG ... P4/mmm (123)
Uncorrected formation energy ... 1942.1 meV/atom

Computed, not measured: ScReHgTe2 after structural relaxation at the PBE level of DFT.

The structure in extended XYZ format:
```
5
Lattice="-3.919 -3.168 2.232 3.694 -3.886 0.969 1.029 2.210 4.944" Properties=species:S:1:pos:R:3 pbc="T T T"
Sc 0.000 0.000 0.000
Re 1.847 -1.943 0.484
Te 0.515 1.105 2.472
Te -1.960 -1.584 1.116
Hg 0.402 -2.422 4.072
```

Calculated values
SG ... P4/mmm (123)
Uncorrected formation energy ... 908.7 meV/atom

Computed, not measured: ZrScReHg2 after structural relaxation at the PBE level of DFT.

The structure in extended XYZ format:
```
5
Lattice="5.283 0.000 0.000 0.000 4.788 0.000 0.000 0.000 5.283" Properties=species:S:1:pos:R:3 pbc="T T T"
Sc 2.642 2.394 2.642
Re 0.000 0.000 0.000
Hg 0.000 0.000 2.642
Hg 2.642 0.000 0.000
Zr 0.000 2.394 0.000
```

Calculated values
Formation energy from the elements ... 3.7 eV/f.u.
SG ... P4/mmm (123)

Computed, not measured: ReHg2Se after structural relaxation at the PBE level of DFT.

The structure in extended XYZ format:
```
4
Lattice="-0.506 0.021 -3.139 -2.884 -0.424 0.462 -1.276 9.629 0.270" Properties=species:S:1:pos:R:3 pbc="T T T"
Hg -0.304 0.056 0.049
Hg -1.000 2.827 -1.430
Re -2.470 4.585 0.429
Se -2.973 6.361 -1.088
```

Calculated values
SG ... Pm (6)
Uncorrected formation energy ... 406.0 meV/atom

Computed, not measured: ReHgSe2 after structural relaxation at the PBE level of DFT.

The structure in extended XYZ format:
```
4
Lattice="5.352 0.000 0.000 2.158 4.898 0.000 -3.755 -2.449 2.924" Properties=species:S:1:pos:R:3 pbc="T T T"
Hg 3.755 2.449 0.000
Re 2.676 0.000 1.462
Se 0.000 0.000 0.000
Se 1.079 2.449 1.462
```

Calculated values
SG ... I-4m2 (119)
Uncorrected formation energy ... 1062.1 meV/atom

Computed, not measured: ReHg2Se after structural relaxation at the PBE level of DFT.

The structure in extended XYZ format:
```
4
Lattice="-2.315 -0.916 1.341 0.036 -2.364 -1.552 6.024 -4.651 7.224" Properties=species:S:1:pos:R:3 pbc="T T T"
Hg 0.222 -0.171 0.266
Hg 2.790 -2.154 3.346
Re 0.367 -2.803 1.700
Se 3.379 -5.128 5.312
```

Calculated values
SG ... P4/mmm (123)
Uncorrected formation energy ... 826.5 meV/atom

Computed, not measured: ReHgSe3 after structural relaxation at the PBE level of DFT.

The structure in extended XYZ format:
```
5
Lattice="-0.714 -4.505 1.910 3.753 0.734 3.135 -3.140 1.902 3.313" Properties=species:S:1:pos:R:3 pbc="T T T"
Re 0.000 0.000 0.000
Hg -0.051 -0.934 4.179
Se 1.876 0.367 1.568
Se -1.570 0.951 1.656
Se -0.357 -2.252 0.955
```

Calculated values
SG ... Pm-3m (221)
Distance to the lowest polymorph of the same formula ... 0.000 eV per atom
Uncorrected formation energy ... 398.8 meV/atom

Computed, not measured: ReHgSe2 after structural relaxation at the PBE level of DFT.

The structure in extended XYZ format:
```
4
Lattice="1.847 0.000 10.677 -0.924 1.600 10.677 -0.924 -1.600 10.677" Properties=species:S:1:pos:R:3 pbc="T T T"
Re 0.000 0.000 16.015
Hg 0.000 0.000 0.000
Se 0.000 0.000 28.463
Se 0.000 0.000 3.566
```

Calculated values
SG ... R-3m (166)
Uncorrected formation energy ... -4.8 meV/atom

Computed, not measured: ReHgSe2 after structural relaxation at the PBE level of DFT.

The structure in extended XYZ format:
```
4
Lattice="3.294 0.000 0.000 0.000 4.744 0.000 0.000 0.000 4.799" Properties=species:S:1:pos:R:3 pbc="T T T"
Hg 1.647 0.000 2.400
Re 0.000 2.372 2.400
Se 0.000 0.000 0.000
Se 1.647 2.372 0.000
```

Calculated values
SG ... Pmmm (47)
Uncorrected formation energy ... 1052.6 meV/atom

Computed, not measured: ReHg3Se after structural relaxation at the PBE level of DFT.

The structure in extended XYZ format:
```
5
Lattice="5.443 0.000 0.000 0.000 5.443 0.000 0.000 0.000 5.443" Properties=species:S:1:pos:R:3 pbc="T T T"
Re 2.721 2.721 2.721
Hg 0.000 2.721 0.000
Hg 0.000 0.000 2.721
Hg 2.721 0.000 0.000
Se 0.000 0.000 0.000
```

Calculated values
SG ... Pm-3m (221)
Distance to the lowest polymorph of the same formula ... 0.443 eV per atom
Uncorrected formation energy ... 1513.2 meV/atom

Computed, not measured: ReHgSe2 after structural relaxation at the PBE level of DFT.

The structure in extended XYZ format:
```
4
Lattice="6.368 -0.035 -0.148 -3.733 5.293 0.079 -1.097 0.576 2.404" Properties=species:S:1:pos:R:3 pbc="T T T"
Hg -2.415 2.935 1.242
Re 1.318 2.629 -0.034
Se 0.000 0.000 0.000
Se 2.635 0.271 1.128
```

Calculated values
SG ... C2/m (12)
Uncorrected formation energy ... 857.2 meV/atom

Computed, not measured: ReHg2Se after structural relaxation at the PBE level of DFT.

The structure in extended XYZ format:
```
4
Lattice="-0.878 2.870 -2.947 1.988 -2.342 -2.873 -3.870 -2.141 -0.933" Properties=species:S:1:pos:R:3 pbc="T T T"
Hg 0.000 0.000 0.000
Hg 0.555 0.264 -2.910
Re -2.374 0.365 -1.940
Se -0.941 -2.241 -1.903
```

Calculated values
SG ... P4/mmm (123)
Uncorrected formation energy ... 1018.1 meV/atom

Computed, not measured: ReHg2Se after structural relaxation at the PBE level of DFT.

The structure in extended XYZ format:
```
4
Lattice="7.597 0.000 -0.026 7.026 2.890 -0.026 1.144 0.226 3.966" Properties=species:S:1:pos:R:3 pbc="T T T"
Hg 2.028 0.401 3.707
Hg 7.000 1.384 2.216
Re 11.825 2.337 2.935
Se 3.942 0.779 0.978
```

Calculated values
SG ... C2/m (12)
Uncorrected formation energy ... 571.1 meV/atom

Computed, not measured: ReHgSe2 after structural relaxation at the PBE level of DFT.

The structure in extended XYZ format:
```
4
Lattice="-9.993 0.700 0.686 -9.398 -3.492 -0.563 9.797 0.782 2.056" Properties=species:S:1:pos:R:3 pbc="T T T"
Hg -8.528 -1.228 0.054
Re -3.586 -1.901 0.770
Se 7.877 0.505 2.068
Se -5.254 -0.002 1.404
```

Calculated values
SG ... Imm2 (44)
Uncorrected formation energy ... 36.7 meV/atom

Computed, not measured: ReHg3Se after structural relaxation at the PBE level of DFT.

The structure in extended XYZ format:
```
5
Lattice="5.345 0.000 0.000 0.000 5.345 0.000 0.000 0.000 5.345" Properties=species:S:1:pos:R:3 pbc="T T T"
Re 0.000 0.000 0.000
Hg 0.000 2.673 0.000
Hg 0.000 0.000 2.673
Hg 2.673 0.000 0.000
Se 2.673 2.673 2.673
```

Calculated values
SG ... Pm-3m (221)
Distance to the lowest polymorph of the same formula ... 0.000 eV per atom
Uncorrected formation energy ... 1070.1 meV/atom

Computed, not measured: ReHg2Se after structural relaxation at the PBE level of DFT.

The structure in extended XYZ format:
```
4
Lattice="2.863 -0.215 0.000 -1.290 2.565 0.000 0.000 0.000 12.092" Properties=species:S:1:pos:R:3 pbc="T T T"
Hg 0.000 0.000 0.388
Hg 0.000 0.000 5.658
Re 0.786 1.175 3.023
Se 0.786 1.175 9.069
```

Calculated values
SG ... Cmmm (65)
Uncorrected formation energy ... 772.9 meV/atom